i:
Here is a relaxed structure of CoSnP2Cl from the Alexandria database. Energies are from PBE-GGA.

Summary:
Magnetic moment = 2.39 μB/cell

Cell lengths 5.0601, 5.0601, 5.0578 Å; angles 90.00, 90.00, 90.00 degrees
Closest atoms and distances in Å follow each position.
Sites, in units of the cell vectors:
Sn: 0.0000 0.0000 0.0000  2 Cl 2.53, 4 P 2.53
P: 0.0000 0.5000 0.0000  2 Sn 2.53
P: 0.5000 0.0000 0.0000  2 Sn 2.53
Co: 0.5000 0.5000 0.5000  8 P 3.58, 4 Cl 3.58
Cl: 0.0000 0.0000 0.5000  2 Sn 2.53

ii:
Here is a relaxed structure of CoSnP2Cl from the Alexandria database. Energies are from PBE-GGA.

Summary:
Magnetic moment = 0.00 μB/cell

Cell lengths 4.3029, 4.3029, 5.3885 Å; angles 90.00, 90.00, 90.00 degrees
Closest atoms and distances in Å follow each position.
Sites, in units of the cell vectors:
P: 0.5000 0.0000 0.0000  2 Co 2.15
P: 0.0000 0.5000 0.0000  2 Co 2.15
Sn: 0.5000 0.5000 0.5000  4 Cl 3.04
Co: 0.0000 0.0000 0.0000  4 P 2.15
Cl: 0.0000 0.0000 0.5000  2 Co 2.69

Q: Which of them is the most stable? A: ii.

i:
Here is a relaxed structure of SrCoPCl2 from the Alexandria database. Energies are from PBE-GGA.

Summary:
Magnetic moment = 0.75 μB/cell

Cell lengths 5.4812, 6.2693, 5.4812 Å; angles 90.00, 90.00, 90.00 degrees
Closest atoms and distances in Å follow each position.
Sites, in units of the cell vectors:
Cl: 0.5000 0.0000 0.0000  2 Sr 2.74
Cl: 0.0000 0.0000 0.5000  2 Sr 2.74
Sr: 0.0000 0.0000 0.0000  4 Cl 2.74
P: 0.0000 0.5000 0.0000  2 Sr 3.13
Co: 0.5000 0.5000 0.5000  4 P 3.88, 8 Cl 4.16

ii:
Here is a relaxed structure of SrCoPCl2 from the Alexandria database. Energies are from PBE-GGA.

Summary:
Magnetic moment = 0.58 μB/cell

Cell lengths 4.8871, 4.8871, 4.3890 Å; angles 90.00, 90.00, 90.00 degrees
Closest atoms and distances in Å follow each position.
Sites, in units of the cell vectors:
P: 0.0000 0.0000 0.5000  2 Co 2.19
Sr: 0.5000 0.5000 0.5000  8 Cl 3.28, 4 P 3.46
Cl: 0.5000 0.0000 0.0000  2 Co 2.44
Cl: 0.0000 0.5000 0.0000  2 Co 2.44
Co: 0.0000 0.0000 0.0000  2 P 2.19, 4 Cl 2.44

Q: Which of them is the most stable? A: ii.

i:
Here is a relaxed structure of SrCoP2Cl from the Alexandria database. Energies are from PBE-GGA.

Summary:
Magnetic moment = 0.00 μB/cell

Cell lengths 4.2316, 4.2316, 6.2814 Å; angles 90.00, 90.00, 90.00 degrees
Closest atoms and distances in Å follow each position.
Sites, in units of the cell vectors:
Co: 0.0000 0.0000 0.0000  4 P 2.12
Cl: 0.0000 0.0000 0.5000  4 Sr 2.99, 2 Co 3.14
Sr: 0.5000 0.5000 0.5000  4 Cl 2.99
P: 0.5000 0.0000 0.0000  2 Co 2.12
P: 0.0000 0.5000 0.0000  2 Co 2.12

ii:
Here is a relaxed structure of SrCoP2Cl from the Alexandria database. Energies are from PBE-GGA.

Summary:
Magnetic moment = 3.04 μB/cell

Cell lengths 5.6049, 5.6049, 5.3454 Å; angles 90.00, 90.00, 90.00 degrees
Closest atoms and distances in Å follow each position.
Sites, in units of the cell vectors:
Sr: 0.0000 0.0000 0.0000  2 Cl 2.67, 4 P 2.80
P: 0.5000 0.0000 0.0000  2 Sr 2.80
P: 0.0000 0.5000 0.0000  2 Sr 2.80
Cl: 0.0000 0.0000 0.5000  2 Sr 2.67
Co: 0.5000 0.5000 0.5000  8 P 3.87, 4 Cl 3.96

Q: Which of them is the most stable? A: i.